1.
Computed, not measured: Ba2TaAgO6 after structural relaxation at the PBE-GGA level of DFT.

Cell and atoms, written as CIF:
```
data_Ba2TaAgO6
_cell_length_a 8.4074
_cell_length_b 8.4074
_cell_length_c 8.4074
_cell_angle_alpha 90.00
_cell_angle_beta 90.00
_cell_angle_gamma 90.00
_symmetry_space_group_name_H-M 'F m -3 m'
_symmetry_Int_Tables_number 225
_symmetry_space_group_name_Hall '-F 4 2 3'
loop_
_atom_site_label
_atom_site_fract_x
_atom_site_fract_y
_atom_site_fract_z
Ba1 0.2500 0.2500 0.2500
Ta1 0.0000 0.0000 0.0000
Ag1 0.0000 0.0000 0.5000
O1 0.0000 0.0000 0.2372
```

Energy relative to the elements, uncorrected (eV per atom): -2.18
Total magnetization (μB per formula unit): 0.562
Final energy (eV per cell): -280.29

2.
Computed, not measured: SrBiPd3Au after structural relaxation at the PBE-GGA level of DFT.

Cell and atoms, written as CIF:
```
data_SrBiPd3Au
_cell_length_a 6.1694
_cell_length_b 12.4162
_cell_length_c 7.2307
_cell_angle_alpha 90.00
_cell_angle_beta 90.00
_cell_angle_gamma 90.00
_symmetry_space_group_name_H-M 'C m c m'
_symmetry_Int_Tables_number 63
_symmetry_space_group_name_Hall '-C 2c 2'
loop_
_atom_site_label
_atom_site_fract_x
_atom_site_fract_y
_atom_site_fract_z
Sr1 0.0000 0.1729 0.2500
Bi1 0.0000 0.1346 0.7500
Pd1 0.0000 0.3578 0.7500
Pd2 0.2311 0.0000 0.0000
Au1 0.0000 0.4110 0.2500
```

Total magnetization (μB per formula unit): 0.000
Final energy (eV per cell): -105.67

3.
Computed, not measured: Er3Si4Ir after structural relaxation at the PBE-GGA level of DFT.

Cell and atoms, written as CIF:
```
data_Er3Si4Ir
_cell_length_a 4.2419
_cell_length_b 5.5903
_cell_length_c 14.3380
_cell_angle_alpha 90.00
_cell_angle_beta 90.00
_cell_angle_gamma 90.00
_symmetry_space_group_name_H-M 'I m m m'
_symmetry_Int_Tables_number 71
_symmetry_space_group_name_Hall '-I 2 2'
loop_
_atom_site_label
_atom_site_fract_x
_atom_site_fract_y
_atom_site_fract_z
Er1 0.0000 0.0000 0.0000
Er2 0.0000 0.5000 0.1927
Si1 0.0000 0.2923 0.3785
Ir1 0.0000 0.0000 0.5000
```

Energy relative to the elements, uncorrected (eV per atom): -0.64
Total magnetization (μB per formula unit): 0.000
Final energy (eV per cell): -98.73

4.
Computed, not measured: VCo6Ge after structural relaxation at the PBE-GGA level of DFT.

Cell and atoms, written as CIF:
```
data_VCo6Ge
_cell_length_a 7.0904
_cell_length_b 10.0403
_cell_length_c 10.0414
_cell_angle_alpha 90.00
_cell_angle_beta 90.00
_cell_angle_gamma 90.00
_symmetry_space_group_name_H-M 'C m m m'
_symmetry_Int_Tables_number 65
_symmetry_space_group_name_Hall '-C 2 2'
loop_
_atom_site_label
_atom_site_fract_x
_atom_site_fract_y
_atom_site_fract_z
V1 0.0000 0.0000 0.2489
V2 0.0000 0.2429 0.5000
Co1 0.0000 0.0000 0.0000
Co2 0.0000 0.0000 0.5000
Co3 0.0000 0.2479 0.2530
Co4 0.0000 0.5000 0.0000
Co5 0.0000 0.5000 0.5000
Co6 0.2491 0.1259 0.3766
Co7 0.2497 0.1240 0.1267
Ge1 0.0000 0.2449 0.0000
Ge2 0.0000 0.5000 0.2510
```

Total magnetization (μB per formula unit): 4.642
Final energy (eV per cell): -458.39

5.
Computed, not measured: Sr2HAu after structural relaxation at the PBE-GGA level of DFT.

Cell and atoms, written as CIF:
```
data_Sr2HAu
_cell_length_a 7.5145
_cell_length_b 7.5145
_cell_length_c 7.5145
_cell_angle_alpha 90.00
_cell_angle_beta 90.00
_cell_angle_gamma 90.00
_symmetry_space_group_name_H-M 'F m -3 m'
_symmetry_Int_Tables_number 225
_symmetry_space_group_name_Hall '-F 4 2 3'
loop_
_atom_site_label
_atom_site_fract_x
_atom_site_fract_y
_atom_site_fract_z
Sr1 0.2500 0.2500 0.2500
H1 0.0000 0.0000 0.0000
Au1 0.0000 0.0000 0.5000
```

Total magnetization (μB per formula unit): 0.000
Final energy (eV per cell): -44.37
ΔE to the lowest computed polymorph (eV per atom): 0.182

6.
Computed, not measured: BaMn2Se after structural relaxation at the PBE-GGA level of DFT.

Cell and atoms, written as CIF:
```
data_BaMn2Se
_cell_length_a 10.9954
_cell_length_b 3.5316
_cell_length_c 5.7015
_cell_angle_alpha 90.00
_cell_angle_beta 110.95
_cell_angle_gamma 90.00
_symmetry_space_group_name_H-M 'C 1 2/m 1'
_symmetry_Int_Tables_number 12
loop_
_symmetry_equiv_pos_as_xyz
'x,y,z'
'-x,-y,-z'
'-x,y,-z'
'x,-y,z'
'x+1/2,y+1/2,z'
'-x+1/2,-y+1/2,-z'
'-x+1/2,y+1/2,-z'
'x+1/2,-y+1/2,z'
loop_
_atom_site_label
_atom_site_fract_x
_atom_site_fract_y
_atom_site_fract_z
Ba1 0.0000 0.0000 0.0000
Mn1 0.1975 0.0000 0.6283
Se1 0.0000 0.5000 0.5000
```

Energy relative to the elements, uncorrected (eV per atom): 0.12
Total magnetization (μB per formula unit): 8.051
Final energy (eV per cell): -46.50

7.
Computed, not measured: CsCoSn2 after structural relaxation at the PBE-GGA level of DFT.

Cell and atoms, written as CIF:
```
data_CsCoSn2
_cell_length_a 7.6268
_cell_length_b 7.6268
_cell_length_c 7.6268
_cell_angle_alpha 90.00
_cell_angle_beta 90.00
_cell_angle_gamma 90.00
_symmetry_space_group_name_H-M 'F m -3 m'
_symmetry_Int_Tables_number 225
_symmetry_space_group_name_Hall '-F 4 2 3'
loop_
_atom_site_label
_atom_site_fract_x
_atom_site_fract_y
_atom_site_fract_z
Cs1 0.0000 0.0000 0.0000
Co1 0.0000 0.0000 0.5000
Sn1 0.2500 0.2500 0.2500
```

Total magnetization (μB per formula unit): 1.511
Final energy (eV per cell): -50.82

8.
Computed, not measured: CsRb2Tl2 after structural relaxation at the PBE-GGA level of DFT.

Cell and atoms, written as CIF:
```
data_CsRb2Tl2
_cell_length_a 11.1078
_cell_length_b 11.1078
_cell_length_c 4.2599
_cell_angle_alpha 90.00
_cell_angle_beta 90.00
_cell_angle_gamma 90.00
_symmetry_space_group_name_H-M 'P 4/m b m'
_symmetry_Int_Tables_number 127
_symmetry_space_group_name_Hall '-P 4 2ab'
loop_
_atom_site_label
_atom_site_fract_x
_atom_site_fract_y
_atom_site_fract_z
Cs1 0.0000 0.0000 0.0000
Rb1 0.1319 0.3681 0.0000
Tl1 0.1639 0.6639 0.5000
```

Total magnetization (μB per formula unit): 1.075
Final energy (eV per cell): -14.34
ΔE to the lowest computed polymorph (eV per atom): 0.115

9.
Computed, not measured: Na3UI6 after structural relaxation at the PBE-GGA level of DFT.

Cell and atoms, written as CIF:
```
data_Na3UI6
_cell_length_a 7.8914
_cell_length_b 8.4570
_cell_length_c 14.3129
_cell_angle_alpha 90.00
_cell_angle_beta 122.98
_cell_angle_gamma 90.00
_symmetry_space_group_name_H-M 'P 1 21/c 1'
_symmetry_Int_Tables_number 14
loop_
_symmetry_equiv_pos_as_xyz
'x,y,z'
'-x,-y,-z'
'-x,y+1/2,-z+1/2'
'x,-y+1/2,z+1/2'
loop_
_atom_site_label
_atom_site_fract_x
_atom_site_fract_y
_atom_site_fract_z
Na1 0.0000 0.0000 0.0000
Na2 0.2012 0.0957 0.7408
U1 0.5000 0.0000 0.5000
I1 0.1027 0.1815 0.4265
I2 0.2490 0.6855 0.4194
I3 0.4099 0.0623 0.2594
```

Energy relative to the elements, uncorrected (eV per atom): -1.05
Total magnetization (μB per formula unit): 3.000
Final energy (eV per cell): -70.05

10.
Computed, not measured: LiTaW2 after structural relaxation at the PBE-GGA level of DFT.

Cell and atoms, written as CIF:
```
data_LiTaW2
_cell_length_a 2.6910
_cell_length_b 4.4993
_cell_length_c 5.3920
_cell_angle_alpha 90.00
_cell_angle_beta 98.58
_cell_angle_gamma 90.00
_symmetry_space_group_name_H-M 'P 1 m 1'
_symmetry_Int_Tables_number 6
loop_
_symmetry_equiv_pos_as_xyz
'x,y,z'
'x,-y,z'
loop_
_atom_site_label
_atom_site_fract_x
_atom_site_fract_y
_atom_site_fract_z
Li1 0.0000 0.0000 0.0000
Ta1 0.7482 0.5000 0.2512
W1 0.2155 0.5000 0.7456
W2 0.4626 0.0000 0.5133
```

Total magnetization (μB per formula unit): 0.000
Final energy (eV per cell): -38.45
ΔE to the lowest computed polymorph (eV per atom): 0.053

11.
Computed, not measured: Tb3Y2Al3 after structural relaxation at the PBE-GGA level of DFT.

Cell and atoms, written as CIF:
```
data_Tb3Y2Al3
_cell_length_a 3.6965
_cell_length_b 5.1773
_cell_length_c 21.6249
_cell_angle_alpha 90.00
_cell_angle_beta 90.00
_cell_angle_gamma 90.00
_symmetry_space_group_name_H-M 'I m m m'
_symmetry_Int_Tables_number 71
_symmetry_space_group_name_Hall '-I 2 2'
loop_
_atom_site_label
_atom_site_fract_x
_atom_site_fract_y
_atom_site_fract_z
Tb1 0.0000 0.0000 0.0000
Tb2 0.0000 0.5000 0.1194
Y1 0.0000 0.0000 0.2297
Al1 0.0000 0.0000 0.5000
Al2 0.0000 0.5000 0.3836
```

Total magnetization (μB per formula unit): 0.000
Final energy (eV per cell): -80.85

12.
Computed, not measured: LuPaCoRe after structural relaxation at the PBE-GGA level of DFT.

Cell and atoms, written as CIF:
```
data_LuPaCoRe
_cell_length_a 6.7398
_cell_length_b 6.7398
_cell_length_c 6.7398
_cell_angle_alpha 90.00
_cell_angle_beta 90.00
_cell_angle_gamma 90.00
_symmetry_space_group_name_H-M 'F -4 3 m'
_symmetry_Int_Tables_number 216
_symmetry_space_group_name_Hall 'F -4 2 3'
loop_
_atom_site_label
_atom_site_fract_x
_atom_site_fract_y
_atom_site_fract_z
Lu1 0.0000 0.0000 0.0000
Pa1 0.0000 0.0000 0.5000
Co1 0.2500 0.2500 0.7500
Re1 0.2500 0.2500 0.2500
```

Total magnetization (μB per formula unit): 0.407
Final energy (eV per cell): -136.08